[1]
4
Lattice="5.299 0.000 0.000 2.649 4.589 0.000 2.649 1.530 4.326" Properties=species:S:1:pos:R:3 comment="GGA-PBE SrHoAlZn, optimized geometry" dos_ef_per_ev_fu=3.1 formation_energy_ev_per_atom=-0.18 energy_ev_per_fu=-12.0 space_group=F-43m pbc="T T T"
Zn 0.000 0.000 0.000
Ho 7.948 4.589 3.245
Al 5.299 3.059 2.163
Sr 2.649 1.530 1.082

***

[2]
8
Lattice="6.791 0.000 0.000 3.395 5.490 0.000 3.395 0.000 5.490" Properties=species:S:1:pos:R:3 comment="GGA-PBE Na2MgSnSe4, optimized geometry" dos_ef_per_ev_fu=0.0 energy_ev_per_fu=-29.2 space_group=I-42m pbc="T T T"
Se 5.036 0.000 1.979
Se 5.150 3.511 0.000
Na 6.791 2.745 2.745
Se 1.754 1.979 0.000
Se 8.432 0.000 3.511
Mg 0.000 0.000 0.000
Sn 3.395 0.000 0.000
Na 3.395 2.745 2.745

***

[3]
4
Lattice="5.170 -0.050 -0.017 0.707 5.122 0.017 -2.119 -3.486 3.177" Properties=species:S:1:pos:R:3 comment="GGA-PBE LaFe2Br, optimized geometry" de_polymorph_mev_per_atom=290 dos_ef_per_ev_fu=3.8 energy_ev_per_fu=-22.8 space_group=Imm2 pbc="T T T"
La 3.029 2.614 0.000
Fe 5.749 4.961 0.000
Fe 3.368 -0.178 1.580
Br 0.428 1.797 1.597

***

[4]
8
Lattice="-1.541 1.596 -3.362 2.486 -5.439 -3.722 -6.414 -1.499 2.228" Properties=species:S:1:pos:R:3 comment="GGA-PBE ZrNp2UAs4, optimized geometry" dos_ef_per_ev_fu=19.3 formation_energy_ev_per_atom=-0.83 energy_ev_per_fu=-70.9 space_group=P2/m pbc="T T T"
As -1.714 -0.871 -2.041
As 0.315 -4.476 -2.270
U 0.473 -1.921 -3.542
As -4.243 -2.463 0.775
As -3.755 -4.471 -2.815
Np -3.977 0.048 -0.567
Zr 0.000 0.000 0.000
Np -1.964 -3.469 -0.747